1.
Below is La2MgHPd after structural relaxation, with properties calculated at the GGA-PBE level.

Computed properties:
* polymorph energy (0 for the lowest one): 0 meV/atom
* magnetic moment: 0.00 Bohr magnetons per cell
* calculated total energy: -4.383 eV per atom
* SG: No. 123
* density: 6260 kg/m3

abc: 5.011 5.011 4.327
angles: 90.00 90.00 90.00
Fractional positions:
Pd 0.500 0.500 0.500
Mg 0.000 0.000 0.500
La 0.000 0.500 0.000
La 0.500 0.000 0.000
H 0.000 0.000 0.000

2.
Below is TeAsW2 after structural relaxation, with properties calculated at the GGA-PBE level.

Computed properties:
* polymorph energy (0 for the lowest one): 284 meV/atom
* magnetic moment: 0.00 Bohr magnetons per cell
* calculated total energy: -7.957 eV per atom
* SG: No. 35
* density: 11752 kg/m3

abc: 2.961 2.961 9.756
angles: 90.00 90.00 109.60
Fractional positions:
W 0.000 0.000 0.032
As 0.000 0.000 0.443
W 0.500 0.500 0.238
Te 0.500 0.500 0.787